[1]
Density functional theory data (GGA-PBE) for a geometry-optimized Dy4GeSbTe2 structure.

a b c (Å): 7.4962 4.3070 7.5222
angles (deg): 90.00 109.21 90.00
Fractional positions:
Dy  0.2299  0.0000  0.2246
Dy  0.2427  0.5000  0.7693
Dy  0.7573  0.5000  0.2307
Dy  0.7701  0.0000  0.7754
Ge  0.0000  0.5000  0.0000
Sb  0.5000  0.0000  0.0000
Te  0.0000  0.0000  0.5000
Te  0.5000  0.5000  0.5000

Summary:
Crystal system: monoclinic
Electronic total energy (eV per cell): -43.34
Energy relative to the elements, uncorrected (eV per atom): -1.239



[2]
Density functional theory data (GGA-PBE) for a geometry-optimized Dy6Ge2Sb3Te structure.

a b c (Å): 9.6501 9.6501 8.6419
angles (deg): 103.11 103.11 25.66
Fractional positions:
Dy  0.0083  0.0083  0.2598
Dy  0.3290  0.3290  0.4251
Dy  0.3296  0.3296  0.9006
Dy  0.6704  0.6704  0.0994
Dy  0.6710  0.6710  0.5749
Dy  0.9917  0.9917  0.7402
Ge  0.1674  0.1674  0.3337
Ge  0.8326  0.8326  0.6663
Sb  0.1619  0.1619  0.8334
Sb  0.5000  0.5000  0.5000
Sb  0.8381  0.8381  0.1666
Te  0.5000  0.5000  0.0000

Summary:
Crystal system: monoclinic
Electronic total energy (eV per cell): -65.04
Energy relative to the elements, uncorrected (eV per atom): -1.057